Record 1
A plane-wave DFT calculation with GGA-PBE was carried out for an optimized crystal structure of Sm4Sb2Pb.

Lattice parameters (Å, degrees): 9.896 9.896 9.715 90.00 90.00 90.00
Space group I4_1/amd (No. 141, origin choice 2)
Asymmetric unit:
Sm: 0.000 0.063 0.193 x16
Sb: 0.000 0.000 0.500 x8
Pb: 0.000 0.250 0.875 x4

Properties
Its crystal system is tetragonal. As for the density of states at the Fermi level: 5.8 states/eV/f.u. The calculation puts the uncorrected energy at -5.132 eV/atom. The formation energy from raw total energies comes out at -727.9 meV per atom. For the volume, the calculation gives 951.3 Å³ per cell. The size of the total moment is 0.00 μB/f.u.

=====

Record 2
A plane-wave DFT calculation with GGA-PBE was carried out for an optimized crystal structure of GeNF2.

Lattice parameters (Å, degrees): 3.299 3.299 14.888 90.00 90.00 90.00
Space group I-42d (No. 122)
Asymmetric unit:
Ge: 0.000 0.000 0.000 x4
N: 0.000 0.000 0.500 x4
F: 0.240 0.250 0.125 x8

Properties
Its crystal system is tetragonal. As for the density of states at the Fermi level: 1.6 states/eV/f.u. The calculation puts the uncorrected energy at -4.160 eV/atom. The formation energy from raw total energies comes out at 11.6 meV per atom. For the volume, the calculation gives 162.0 Å³ per cell. The size of the total moment is 0.38 μB/f.u.

=====

Record 3
A plane-wave DFT calculation with GGA-PBE was carried out for an optimized crystal structure of Er5CN4.

Lattice parameters (Å, degrees): 7.734 7.734 4.861 90.00 90.00 90.00
Space group I4/m (No. 87)
Asymmetric unit:
Er: 0.000 0.000 0.000 x2
Er: 0.104 0.305 0.500 x8
C: 0.000 0.000 0.500 x2
N: 0.099 0.301 0.000 x8

Properties
Its crystal system is tetragonal. As for the density of states at the Fermi level: 4.8 states/eV/f.u. The calculation puts the uncorrected energy at -7.940 eV/atom. The formation energy from raw total energies comes out at -1405.6 meV per atom. For the volume, the calculation gives 290.7 Å³ per cell. The size of the total moment is 0.00 μB/f.u.

=====

Record 4
A plane-wave DFT calculation with GGA-PBE was carried out for an optimized crystal structure of NaGa7Cu5.

Lattice parameters (Å, degrees): 5.157 8.948 8.681 90.00 90.00 90.00
Space group Imm2 (No. 44)
Asymmetric unit:
Na: 0.000 0.000 0.000 x2
Ga: 0.000 0.000 0.355 x2
Ga: 0.000 0.000 0.658 x2
Ga: 0.000 0.304 0.494 x4
Ga: 0.000 0.344 0.010 x4
Ga: 0.000 0.500 0.733 x2
Cu: 0.000 0.500 0.269 x2
Cu: 0.248 0.251 0.751 x8

Properties
Its crystal system is orthorhombic. As for the density of states at the Fermi level: 4.1 states/eV/f.u. The calculation puts the uncorrected energy at -3.419 eV/atom. The energy of formation comes out at -1.5 eV/f.u. For the volume, the calculation gives 400.6 Å³ per cell. The size of the total moment is 0.00 μB/f.u.

=====

Record 5
A plane-wave DFT calculation with GGA-PBE was carried out for an optimized crystal structure of LiCa5Mg4.

Lattice parameters (Å, degrees): 3.921 3.921 20.276 90.00 90.00 90.00
Space group P4/mmm (No. 123)
Asymmetric unit:
Li: 0.000 0.000 0.000 x1
Ca: 0.500 0.500 0.100 x2
Ca: 0.500 0.500 0.300 x2
Ca: 0.500 0.500 0.500 x1
Mg: 0.000 0.000 0.200 x2
Mg: 0.000 0.000 0.400 x2

Properties
Its crystal system is tetragonal. As for the density of states at the Fermi level: 9.5 states/eV/f.u. The calculation puts the uncorrected energy at -1.894 eV/atom. The energy of formation comes out at -0.6 eV/f.u. For the volume, the calculation gives 311.7 Å³ per cell. The size of the total moment is 0.00 μB/f.u.

=====

Record 6
A plane-wave DFT calculation with GGA-PBE was carried out for an optimized crystal structure of NaDyAg.

Lattice parameters (Å, degrees): 3.715 3.715 11.579 90.00 90.00 90.00
Space group P4/nmm (No. 129, origin choice 2)
Asymmetric unit:
Na: 0.250 0.250 0.102 x2
Dy: 0.250 0.250 0.398 x2
Ag: 0.250 0.250 0.740 x2

Properties
Its crystal system is tetragonal. As for the density of states at the Fermi level: 1.7 states/eV/f.u. The calculation puts the uncorrected energy at -3.019 eV/atom. The energy of formation comes out at -0.3 eV/f.u. For the volume, the calculation gives 159.8 Å³ per cell. The size of the total moment is 0.35 μB/f.u.

=====

Record 7
A plane-wave DFT calculation with GGA-PBE was carried out for an optimized crystal structure of TbPmIn2Te4.

Lattice parameters (Å, degrees): 7.727 4.460 8.507 90.00 107.61 90.00
Space group P2/m (No. 10)
Asymmetric unit:
Tb: 0.000 0.000 0.000 x1
Pm: 0.500 0.500 0.000 x1
In: 0.000 0.500 0.500 x1
In: 0.500 0.000 0.500 x1
Te: 0.236 0.500 0.221 x2
Te: 0.254 0.000 0.776 x2

Properties
Its crystal system is monoclinic. As for the density of states at the Fermi level: 0.4 states/eV/f.u. The calculation puts the uncorrected energy at -4.411 eV/atom. The formation energy from raw total energies comes out at -983.3 meV per atom. For the volume, the calculation gives 279.5 Å³ per cell. The size of the total moment is 0.00 μB/f.u.

=====

Record 8
A plane-wave DFT calculation with GGA-PBE was carried out for an optimized crystal structure of Hf5Rh2N.

Lattice parameters (Å, degrees): 4.453 13.916 10.628 90.00 90.00 90.00
Space group Cmcm (No. 63)
Asymmetric unit:
Hf: 0.000 0.082 0.108 x8
Hf: 0.000 0.292 0.750 x4
Hf: 0.000 0.303 0.078 x8
Rh: 0.000 0.109 0.629 x8
N: 0.000 0.204 0.250 x4

Properties
Its crystal system is orthorhombic. As for the density of states at the Fermi level: 5.1 states/eV/f.u. The calculation puts the uncorrected energy at -9.562 eV/atom. The formation energy from raw total energies comes out at -462.7 meV per atom. For the volume, the calculation gives 658.6 Å³ per cell. The size of the total moment is 0.00 μB/f.u.

=====

Record 9
A plane-wave DFT calculation with GGA-PBE was carried out for an optimized crystal structure of SrSbSeO2.

Lattice parameters (Å, degrees): 5.661 13.254 5.459 90.00 90.00 90.00
Space group Cmcm (No. 63)
Asymmetric unit:
Sr: 0.000 0.113 0.250 x4
Sb: 0.000 0.428 0.250 x4
Se: 0.000 0.248 0.750 x4
O: 0.225 0.500 0.000 x8

Properties
Its crystal system is orthorhombic. As for the density of states at the Fermi level: 3.0 states/eV/f.u. The calculation puts the uncorrected energy at -5.444 eV/atom. The formation energy from raw total energies comes out at -1603.2 meV per atom. For the volume, the calculation gives 409.6 Å³ per cell. The size of the total moment is 0.88 μB/f.u.

=====

Record 10
A plane-wave DFT calculation with GGA-PBE was carried out for an optimized crystal structure of SmSc3O.

Lattice parameters (Å, degrees): 4.655 4.655 4.655 90.00 90.00 90.00
Space group Pm-3m (No. 221)
Asymmetric unit:
Sm: 0.000 0.000 0.000 x1
Sc: 0.000 0.500 0.500 x3
O: 0.500 0.500 0.500 x1

Properties
Its crystal system is cubic. As for the density of states at the Fermi level: 8.3 states/eV/f.u. The calculation puts the uncorrected energy at -6.739 eV/atom. The formation energy from raw total energies comes out at -1004.7 meV per atom. For the volume, the calculation gives 100.9 Å³ per cell. The size of the total moment is 0.00 μB/f.u.

=====

Record 11
A plane-wave DFT calculation with GGA-PBE was carried out for an optimized crystal structure of HoEr2Cu.

Lattice parameters (Å, degrees): 3.451 3.451 8.629 90.00 90.00 90.00
Space group P4/mmm (No. 123)
Asymmetric unit:
Ho: 0.000 0.000 0.000 x1
Er: 0.500 0.500 0.302 x2
Cu: 0.000 0.000 0.500 x1

Properties
Its crystal system is tetragonal. As for the density of states at the Fermi level: 5.1 states/eV/f.u. The calculation puts the uncorrected energy at -4.556 eV/atom. The energy of formation comes out at -0.4 eV/f.u. For the volume, the calculation gives 102.8 Å³ per cell. The size of the total moment is 0.00 μB/f.u.

=====

Record 12
A plane-wave DFT calculation with GGA-PBE was carried out for an optimized crystal structure of Tl2SnHg5.

Lattice parameters (Å, degrees): 7.032 7.032 5.473 90.00 90.00 90.00
Space group P4/mmm (No. 123)
Asymmetric unit:
Tl: 0.000 0.500 0.000 x2
Sn: 0.000 0.000 0.500 x1
Hg: 0.000 0.000 0.000 x1
Hg: 0.293 0.293 0.500 x4

Properties
Its crystal system is tetragonal. As for the density of states at the Fermi level: 3.6 states/eV/f.u. The calculation puts the uncorrected energy at -1.168 eV/atom. The energy of formation comes out at 0.9 eV/f.u. For the volume, the calculation gives 270.6 Å³ per cell. The size of the total moment is 0.00 μB/f.u.

=====

Record 13
A plane-wave DFT calculation with GGA-PBE was carried out for an optimized crystal structure of GaRh3S.

Lattice parameters (Å, degrees): 4.571 4.571 4.571 90.00 90.00 90.00
Space group Pm-3m (No. 221)
Asymmetric unit:
Ga: 0.000 0.000 0.000 x1
Rh: 0.000 0.000 0.500 x3
S: 0.500 0.500 0.500 x1

Properties
Its crystal system is cubic. As for the density of states at the Fermi level: 7.5 states/eV/f.u. The calculation puts the uncorrected energy at -4.828 eV/atom. The formation energy from raw total energies comes out at 1013.3 meV per atom. For the volume, the calculation gives 95.5 Å³ per cell. The size of the total moment is 2.38 μB/f.u.

=====

Record 14
A plane-wave DFT calculation with GGA-PBE was carried out for an optimized crystal structure of CeSmHgIr.

Lattice parameters (Å, degrees): 7.290 7.290 7.290 90.00 90.00 90.00
Space group F-43m (No. 216)
Asymmetric unit:
Ce: 0.000 0.000 0.000 x4
Sm: 0.000 0.000 0.500 x4
Hg: 0.250 0.250 0.250 x4
Ir: 0.250 0.250 0.750 x4

Properties
Its crystal system is cubic. As for the density of states at the Fermi level: 6.7 states/eV/f.u. The calculation puts the uncorrected energy at -5.416 eV/atom. The energy of formation comes out at -1.8 eV/f.u. For the volume, the calculation gives 387.4 Å³ per cell. The size of the total moment is 0.80 μB/f.u.

=====

Record 15
A plane-wave DFT calculation with GGA-PBE was carried out for an optimized crystal structure of PrSmHg2.

Lattice parameters (Å, degrees): 3.823 3.823 7.689 90.00 90.00 90.00
Space group P4/mmm (No. 123)
Asymmetric unit:
Pr: 0.000 0.000 0.000 x1
Sm: 0.000 0.000 0.500 x1
Hg: 0.500 0.500 0.261 x2

Properties
Its crystal system is tetragonal. As for the density of states at the Fermi level: 4.4 states/eV/f.u. The calculation puts the uncorrected energy at -2.999 eV/atom. The energy of formation comes out at -1.9 eV/f.u. For the volume, the calculation gives 112.4 Å³ per cell. The size of the total moment is 0.82 μB/f.u.

=====

Record 16
A plane-wave DFT calculation with GGA-PBE was carried out for an optimized crystal structure of ThScBe2Ge2.

Lattice parameters (Å, degrees): 3.9083 3.9083 7.9814 90.00 90.00 120.00
Space group P-3m1 (No. 164)
Asymmetric unit:
Th: 0.0000 0.0000 0.0000 x1
Sc: 0.0000 0.0000 0.5000 x1
Be: 0.3333 0.6667 0.7309 x2
Ge: 0.3333 0.6667 0.2744 x2

Properties
Its crystal system is trigonal. As for the density of states at the Fermi level: 3.8 states/eV/f.u. The calculation puts the uncorrected energy at -5.684 eV/atom. The energy of formation comes out at -3.7 eV/f.u. For the volume, the calculation gives 105.6 Å³ per cell. The size of the total moment is 0.00 μB/f.u.

=====

Record 17
A plane-wave DFT calculation with GGA-PBE was carried out for an optimized crystal structure of NaInTe2.

Lattice parameters (Å, degrees): 12.556 5.104 9.618 90.00 117.80 90.00
Space group C2/m (No. 12)
Asymmetric unit:
Na: 0.214 0.000 0.320 x4
In: 0.155 0.000 0.922 x4
Te: 0.029 0.500 0.159 x4
Te: 0.127 0.000 0.592 x4

Properties
Its crystal system is monoclinic. As for the density of states at the Fermi level: 0.0 states/eV/f.u. The calculation puts the uncorrected energy at -2.977 eV/atom. The formation energy from raw total energies comes out at -392.0 meV per atom. For the volume, the calculation gives 545.2 Å³ per cell. The size of the total moment is 0.00 μB/f.u.

=====

Record 18
A plane-wave DFT calculation with GGA-PBE was carried out for an optimized crystal structure of CrCd2RuS.

Lattice parameters (Å, degrees): 5.151 5.151 4.312 90.00 90.00 90.00
Space group P4/mmm (No. 123)
Asymmetric unit:
Cr: 0.000 0.000 0.000 x1
Cd: 0.000 0.500 0.000 x2
Ru: 0.000 0.000 0.500 x1
S: 0.500 0.500 0.500 x1

Properties
Its crystal system is tetragonal. As for the density of states at the Fermi level: 4.6 states/eV/f.u. The calculation puts the uncorrected energy at -3.907 eV/atom. The formation energy from raw total energies comes out at 1064.6 meV per atom. For the volume, the calculation gives 114.4 Å³ per cell. The size of the total moment is 2.22 μB/f.u.

=====

Record 19
A plane-wave DFT calculation with GGA-PBE was carried out for an optimized crystal structure of Cs2SrSi2S6.

Lattice parameters (Å, degrees): 7.3139 7.3139 24.6030 90.00 90.00 120.00
Space group R-3m (No. 166, hexagonal axes)
Asymmetric unit:
Cs: 0.0000 0.0000 0.2151 x6
Sr: 0.0000 0.0000 0.0000 x3
Si: 0.0000 0.0000 0.4132 x6
S: 0.0112 0.5056 0.2497 x18

Properties
Its crystal system is trigonal. As for the density of states at the Fermi level: 0.0 states/eV/f.u. The calculation puts the uncorrected energy at -4.647 eV/atom. The formation energy from raw total energies comes out at -1102.1 meV per atom. For the volume, the calculation gives 1139.8 Å³ per cell. The size of the total moment is 0.00 μB/f.u.

=====

Record 20
A plane-wave DFT calculation with GGA-PBE was carried out for an optimized crystal structure of AlAg2P.

Lattice parameters (Å, degrees): 3.624 4.627 8.145 90.00 90.00 90.00
Space group Cmm2 (No. 35)
Asymmetric unit:
Al: 0.000 0.000 0.000 x2
Ag: 0.000 0.000 0.522 x2
Ag: 0.000 0.500 0.246 x2
P: 0.000 0.500 0.793 x2

Properties
Its crystal system is orthorhombic. As for the density of states at the Fermi level: 1.4 states/eV/f.u. The calculation puts the uncorrected energy at -3.561 eV/atom. The energy of formation comes out at 0.6 eV/f.u. For the volume, the calculation gives 136.6 Å³ per cell. The size of the total moment is 0.00 μB/f.u.